1.
Cd2SiBr: relaxed, GGA-PBE.

Cell and atoms, written as CIF:
```
data_Cd2SiBr
_space_group_name_H-M_alt 'C 1 2/m 1'
_space_group_IT_number 12
_cell_length_a 5.8335
_cell_length_b 8.3431
_cell_length_c 4.7036
_cell_angle_alpha 90.00
_cell_angle_beta 118.81
_cell_angle_gamma 90.00
loop_
_space_group_symop_operation_xyz
'x,y,z'
'-x,-y,-z'
'-x,y,-z'
'x,-y,z'
'x+1/2,y+1/2,z'
'-x+1/2,-y+1/2,-z'
'-x+1/2,y+1/2,-z'
'x+1/2,-y+1/2,z'
loop_
_atom_site_label
_atom_site_fract_x
_atom_site_fract_y
_atom_site_fract_z
_atom_site_occupancy
Cd1 0.2500 0.2500 0.0000 1
Si1 0.0000 0.0000 0.5000 1
Br1 0.0000 0.5000 0.5000 1
```

Summary:
- Excess energy over the best structure of this formula in the dataset: 0.213 eV per atom
- Volume: 25.07 A^3/atom
- D(E_F): 2.91 states/eV per cell
- E_form (uncorrected): 209.9 meV/atom

2.
Cd2SiBr: relaxed, GGA-PBE.

Cell and atoms, written as CIF:
```
data_Cd2SiBr
_space_group_name_H-M_alt 'F m -3 m'
_space_group_IT_number 225
_space_group_name_Hall '-F 4 2 3'
_cell_length_a 7.2587
_cell_length_b 7.2587
_cell_length_c 7.2587
_cell_angle_alpha 90.00
_cell_angle_beta 90.00
_cell_angle_gamma 90.00
loop_
_atom_site_label
_atom_site_fract_x
_atom_site_fract_y
_atom_site_fract_z
_atom_site_occupancy
Cd1 0.2500 0.2500 0.2500 1
Si1 0.0000 0.0000 0.0000 1
Br1 0.0000 0.0000 0.5000 1
```

Summary:
- Excess energy over the best structure of this formula in the dataset: 0.429 eV per atom
- Volume: 23.90 A^3/atom
- D(E_F): 26.57 states/eV per cell
- E_form (uncorrected): 425.8 meV/atom

3.
CdSiBr6: relaxed, GGA-PBE.

Cell and atoms, written as CIF:
```
data_CdSiBr6
_space_group_name_H-M_alt 'C 1 2/m 1'
_space_group_IT_number 12
_cell_length_a 6.8198
_cell_length_b 12.7103
_cell_length_c 6.7796
_cell_angle_alpha 90.00
_cell_angle_beta 112.70
_cell_angle_gamma 90.00
loop_
_space_group_symop_operation_xyz
'x,y,z'
'-x,-y,-z'
'-x,y,-z'
'x,-y,z'
'x+1/2,y+1/2,z'
'-x+1/2,-y+1/2,-z'
'-x+1/2,y+1/2,-z'
'x+1/2,-y+1/2,z'
loop_
_atom_site_label
_atom_site_fract_x
_atom_site_fract_y
_atom_site_fract_z
_atom_site_occupancy
Cd1 0.0000 0.0000 0.0000 1
Si1 0.0000 0.5000 0.5000 1
Br1 0.2088 0.5000 0.2931 1
Br2 0.2296 0.3595 0.7323 1
```

Summary:
- Volume: 33.89 A^3/atom
- E_form (uncorrected): -577.3 meV/atom

4.
Cd3SiBr: relaxed, GGA-PBE.

Cell and atoms, written as CIF:
```
data_Cd3SiBr
_space_group_name_H-M_alt 'P m -3 m'
_space_group_IT_number 221
_space_group_name_Hall '-P 4 2 3'
_cell_length_a 5.2250
_cell_length_b 5.2250
_cell_length_c 5.2250
_cell_angle_alpha 90.00
_cell_angle_beta 90.00
_cell_angle_gamma 90.00
loop_
_atom_site_label
_atom_site_fract_x
_atom_site_fract_y
_atom_site_fract_z
_atom_site_occupancy
Cd1 0.0000 0.0000 0.5000 1
Si1 0.0000 0.0000 0.0000 1
Br1 0.5000 0.5000 0.5000 1
```

Summary:
- Excess energy over the best structure of this formula in the dataset: 0.000 eV per atom
- Volume: 28.53 A^3/atom
- D(E_F): 1.35 states/eV per cell
- E_form (uncorrected): -12.5 meV/atom

5.
Cd2SiBr: relaxed, GGA-PBE.

Cell and atoms, written as CIF:
```
data_Cd2SiBr
_space_group_name_H-M_alt 'P -4 m 2'
_space_group_IT_number 115
_cell_length_a 5.2802
_cell_length_b 5.2802
_cell_length_c 3.5982
_cell_angle_alpha 90.00
_cell_angle_beta 90.00
_cell_angle_gamma 90.00
loop_
_space_group_symop_operation_xyz
'x,y,z'
'y,-x,-z'
'-x,-y,z'
'-y,x,-z'
'-x,y,z'
'-y,-x,-z'
'x,-y,z'
'y,x,-z'
loop_
_atom_site_label
_atom_site_fract_x
_atom_site_fract_y
_atom_site_fract_z
_atom_site_occupancy
Cd1 0.0000 0.5000 0.0995 1
Si1 0.5000 0.5000 0.0000 1
Br1 0.0000 0.0000 0.5000 1
```

Summary:
- Excess energy over the best structure of this formula in the dataset: 0.058 eV per atom
- Volume: 25.08 A^3/atom
- D(E_F): 0.52 states/eV per cell
- E_form (uncorrected): 55.1 meV/atom

6.
Cd2SiBr: relaxed, GGA-PBE.

Cell and atoms, written as CIF:
```
data_Cd2SiBr
_space_group_name_H-M_alt 'I -4 2 d'
_space_group_IT_number 122
_space_group_name_Hall 'I -4 2bw'
_cell_length_a 6.4341
_cell_length_b 6.4341
_cell_length_c 12.4954
_cell_angle_alpha 90.00
_cell_angle_beta 90.00
_cell_angle_gamma 90.00
loop_
_atom_site_label
_atom_site_fract_x
_atom_site_fract_y
_atom_site_fract_z
_atom_site_occupancy
Cd1 0.1990 0.2500 0.1250 1
Si1 0.0000 0.0000 0.0000 1
Br1 0.0000 0.0000 0.5000 1
```

Summary:
- Excess energy over the best structure of this formula in the dataset: 0.048 eV per atom
- Volume: 32.33 A^3/atom
- D(E_F): 8.34 states/eV per cell
- E_form (uncorrected): 44.9 meV/atom

Number 1: total moment 0.00 μB/cell. Number 2: total moment 0.01 μB/cell. Number 3: total moment 0.00 μB/cell. Number 4: total moment 0.00 μB/cell. Number 5: total moment 0.00 μB/cell. Number 6: total moment 3.98 μB/cell.